[1]
Si2MoCl: relaxed, GGA-PBE.

Summary:
- SG = No. 122
- N(E_F) (states/eV/atom) = 0.697
- energy above the most stable polymorph in this dataset (eV per atom) = 0.6698
- DFT total energy (eV/atom) = -5.140

Unit cell a=6.9375 b=6.9375 c=6.9375 alpha=129.35 beta=129.35 gamma=74.45
Closest atoms and distances in Å follow each position.
Fractional coordinates of all 8 atoms:
Si (0.0818, 0.6250, 0.9568)  2 Mo 2.37
Si (0.3750, 0.3318, 0.4568)  2 Mo 2.37
Si (0.6682, 0.1250, 0.0432)  2 Mo 2.37
Si (0.8750, 0.9182, 0.5432)  2 Mo 2.37
Mo (0.0000, 0.0000, 0.0000)  4 Si 2.37
Mo (0.7500, 0.2500, 0.5000)  4 Si 2.37
Cl (0.2500, 0.7500, 0.5000)  4 Si 2.67
Cl (0.5000, 0.5000, 0.0000)  4 Si 2.67


[2]
SiMo4Cl: relaxed, GGA-PBE.

Summary:
- SG = No. 216
- N(E_F) (states/eV/atom) = 1.058
- DFT total energy (eV/atom) = -7.545

Unit cell a=5.2587 b=5.2587 c=5.2587 alpha=60.00 beta=60.00 gamma=60.00
Closest atoms and distances in Å follow each position.
Fractional coordinates of all 6 atoms:
Si (0.0000, 0.0000, 0.0000)  12 Mo 3.09, 4 Cl 3.22
Mo (0.3778, 0.3778, 0.3778)  6 Mo 2.57-2.69
Mo (0.3778, 0.3778, 0.8666)  6 Mo 2.57-2.69
Mo (0.3778, 0.8666, 0.3778)  6 Mo 2.57-2.69
Mo (0.8666, 0.3778, 0.3778)  6 Mo 2.57-2.69
Cl (0.7500, 0.7500, 0.7500)  12 Mo 3.08, 4 Si 3.22


[3]
SiMoCl: relaxed, GGA-PBE.

Summary:
- SG = No. 216
- N(E_F) (states/eV/atom) = 0.705
- energy above the most stable polymorph in this dataset (eV per atom) = 1.5380
- DFT total energy (eV/atom) = -4.977

Unit cell a=4.3209 b=4.3209 c=4.3209 alpha=60.00 beta=60.00 gamma=60.00
Closest atoms and distances in Å follow each position.
Fractional coordinates of all 3 atoms:
Si (0.0000, 0.0000, 0.0000)  4 Mo 2.65, 4 Cl 2.65
Mo (0.7500, 0.7500, 0.7500)  4 Si 2.65
Cl (0.2500, 0.2500, 0.2500)  4 Si 2.65


[4]
SiMoCl: relaxed, GGA-PBE.

Summary:
- SG = No. 156
- N(E_F) (states/eV/atom) = 0.224
- energy above the most stable polymorph in this dataset (eV per atom) = 0.5801
- DFT total energy (eV/atom) = -5.935

Unit cell a=2.9502 b=2.9502 c=7.6362 alpha=90.00 beta=90.00 gamma=120.00
Closest atoms and distances in Å follow each position.
Fractional coordinates of all 3 atoms:
Si (0.0000, 0.0000, 0.0000)  3 Mo 2.75, 6 Si 2.95
Mo (0.3333, 0.6667, 0.7178)  3 Cl 2.46, 3 Si 2.75
Cl (0.6667, 0.3333, 0.4859)  3 Mo 2.46


[5]
SiMoCl3: relaxed, GGA-PBE.

Summary:
- SG = No. 221
- N(E_F) (states/eV/atom) = 0.072
- energy above the most stable polymorph in this dataset (eV per atom) = 0.0852
- DFT total energy (eV/atom) = -3.965

Unit cell a=5.0038 b=5.0038 c=5.0038 alpha=90.00 beta=90.00 gamma=90.00
Closest atoms and distances in Å follow each position.
Fractional coordinates of all 5 atoms:
Si (0.0000, 0.0000, 0.0000)  6 Cl 2.50
Mo (0.5000, 0.5000, 0.5000)  12 Cl 3.54
Cl (0.0000, 0.0000, 0.5000)  2 Si 2.50
Cl (0.0000, 0.5000, 0.0000)  2 Si 2.50
Cl (0.5000, 0.0000, 0.0000)  2 Si 2.50


[6]
Si2MoCl: relaxed, GGA-PBE.

Summary:
- SG = No. 12
- N(E_F) (states/eV/atom) = 0.480
- energy above the most stable polymorph in this dataset (eV per atom) = 0.2946
- DFT total energy (eV/atom) = -5.515

Unit cell a=4.9755 b=4.9755 c=2.7489 alpha=100.83 beta=100.83 gamma=86.68
Closest atoms and distances in Å follow each position.
Fractional coordinates of all 4 atoms:
Si (0.0000, 0.5000, 0.0000)  2 Cl 2.61, 2 Mo 2.61, 2 Si 2.75
Si (0.5000, 0.0000, 0.0000)  2 Cl 2.61, 2 Mo 2.61, 2 Si 2.75
Mo (0.0000, 0.0000, 0.5000)  4 Si 2.61, 2 Mo 2.75
Cl (0.5000, 0.5000, 0.5000)  4 Si 2.61, 2 Cl 2.75